1.
The following is a DFT calculation (GGA-PBE) of a relaxed structure of FeCo3Sb.

Lattice parameters (Å, degrees): 4.3263 4.3263 4.3263 90.00 90.00 90.00
Last column: nearest neighbours and their distance in Å.
Sites, in units of the cell vectors:
Fe: 0.0000 0.0000 0.0000  6 Co 2.16
Co: 0.5000 0.0000 0.0000  2 Fe 2.16
Co: 0.0000 0.5000 0.0000  2 Fe 2.16
Sb: 0.5000 0.5000 0.5000  12 Co 3.06
Co: 0.0000 0.0000 0.5000  2 Fe 2.16

Summary:
As for the energy relative to the lowest polymorph listed for this composition: 0 meV/atom.

***

2.
The following is a DFT calculation (GGA-PBE) of a relaxed structure of Rb2MnBr6Cl.

Lattice parameters (Å, degrees): 7.6372 7.6372 7.9301 61.21 61.21 90.00
Last column: nearest neighbours and their distance in Å.
Sites, in units of the cell vectors:
Cl: 0.5000 0.5000 0.0000  4 Br 2.90
Br: 0.2317 0.2317 0.0000  1 Mn 2.50
Br: 0.2317 0.7683 0.0000  1 Mn 2.50
Br: 0.7683 0.2317 0.0000  1 Mn 2.50
Br: 0.7896 0.7896 0.4208  1 Mn 2.44
Rb: 0.2500 0.7500 0.5000  12 Br 3.85-3.97
Rb: 0.7500 0.2500 0.5000  12 Br 3.85-3.97
Br: 0.2104 0.2104 0.5792  1 Mn 2.44
Mn: 0.0000 0.0000 0.0000  6 Br 2.44-2.50
Br: 0.7683 0.7683 0.0000  1 Mn 2.50

***

no.,uncorrected energy (eV per atom),formation energy (no corrections) (kJ per mole of atoms)
1,-5.867,88.10
2,-3.226,-89.49